[1]
Below is a relaxed structure of K3Pm2PdO6, with properties calculated at the PBE-GGA level.

```
data_K3Pm2PdO6
_chemical_formula_sum 'K3 Pm2 Pd1 O6'
_cell_length_a 6.065
_cell_length_b 6.065
_cell_length_c 6.550
_cell_angle_alpha 98.39
_cell_angle_beta 98.39
_cell_angle_gamma 120.54
_space_group_name_H-M_alt 'P 1'
_space_group_IT_number 1
loop_
_space_group_symop_operation_xyz
'x,y,z'
loop_
_atom_site_label
_atom_site_fract_x
_atom_site_fract_y
_atom_site_fract_z
_atom_site_occupancy
K1 0.159 0.841 0.500 1
K2 0.841 0.159 0.500 1
K3 0.500 0.500 0.500 1
Pm1 0.330 0.670 0.000 1
Pm2 0.670 0.330 0.000 1
Pd1 0.000 0.000 0.000 1
O1 0.934 0.602 0.799 1
O2 0.755 0.755 0.176 1
O3 0.066 0.398 0.201 1
O4 0.602 0.934 0.799 1
O5 0.245 0.245 0.824 1
O6 0.398 0.066 0.201 1
```

Summary:
Uncorrected energy in eV/atom: -5.93
Formation energy from raw total energies in eV per atom: -1.96
Symmetry: C2/m

---

[2]
Below is a relaxed structure of ZnHgGe2O, with properties calculated at the PBE-GGA level.

```
data_ZnHgGe2O
_chemical_formula_sum 'Zn1 Hg1 Ge2 O1'
_cell_length_a 5.357
_cell_length_b 4.095
_cell_length_c 5.357
_cell_angle_alpha 90.00
_cell_angle_beta 90.00
_cell_angle_gamma 90.00
_space_group_name_H-M_alt 'P 1'
_space_group_IT_number 1
loop_
_space_group_symop_operation_xyz
'x,y,z'
loop_
_atom_site_label
_atom_site_fract_x
_atom_site_fract_y
_atom_site_fract_z
_atom_site_occupancy
Zn1 0.500 0.500 0.500 1
Ge1 0.000 0.000 0.500 1
Ge2 0.500 0.000 0.000 1
Hg1 0.000 0.000 0.000 1
O1 0.000 0.500 0.000 1
```

Summary:
DOS(E_F) in states/eV/f.u.: 2.294
Uncorrected energy in eV/atom: -2.42
Formation energy from raw total energies in eV per atom: 0.73
Symmetry: P4/mmm

---

[3]
Below is a relaxed structure of CaDy2Pb, with properties calculated at the PBE-GGA level.

```
data_CaDy2Pb
_chemical_formula_sum 'Ca1 Dy2 Pb1'
_cell_length_a 5.189
_cell_length_b 5.189
_cell_length_c 6.824
_cell_angle_alpha 67.65
_cell_angle_beta 67.65
_cell_angle_gamma 60.00
_space_group_name_H-M_alt 'P 1'
_space_group_IT_number 1
loop_
_space_group_symop_operation_xyz
'x,y,z'
loop_
_atom_site_label
_atom_site_fract_x
_atom_site_fract_y
_atom_site_fract_z
_atom_site_occupancy
Ca1 0.491 0.491 0.526 1
Dy1 0.055 0.055 0.836 1
Dy2 0.276 0.276 0.172 1
Pb1 0.678 0.678 0.966 1
```

Summary:
Energy above the lowest structure with this stoichiometry in eV per atom: 0.241
DOS(E_F) in states/eV/f.u.: 5.815
E_form in eV/atom: 0.001
Uncorrected energy in eV/atom: -3.73
Symmetry: R3m

---

[4]
Below is a relaxed structure of LiTlI2, with properties calculated at the PBE-GGA level.

```
data_LiTlI2
_chemical_formula_sum 'Li1 Tl1 I2'
_cell_length_a 5.811
_cell_length_b 5.811
_cell_length_c 5.811
_cell_angle_alpha 60.00
_cell_angle_beta 60.00
_cell_angle_gamma 60.00
_space_group_name_H-M_alt 'P 1'
_space_group_IT_number 1
loop_
_space_group_symop_operation_xyz
'x,y,z'
loop_
_atom_site_label
_atom_site_fract_x
_atom_site_fract_y
_atom_site_fract_z
_atom_site_occupancy
I1 0.250 0.250 0.250 1
I2 0.750 0.750 0.750 1
Tl1 0.500 0.500 0.500 1
Li1 0.000 0.000 0.000 1
```

Summary:
Energy above the lowest structure with this stoichiometry in eV per atom: 0.204
DOS(E_F) in states/eV/f.u.: 0.000
Uncorrected energy in eV/atom: -2.56
Formation energy from raw total energies in eV per atom: -0.72
Symmetry: Fm-3m

---

[5]
Below is a relaxed structure of KBiH2Cl, with properties calculated at the PBE-GGA level.

```
data_KBiH2Cl
_chemical_formula_sum 'K1 Bi1 H2 Cl1'
_cell_length_a 4.224
_cell_length_b 8.331
_cell_length_c 4.224
_cell_angle_alpha 90.00
_cell_angle_beta 90.00
_cell_angle_gamma 90.00
_space_group_name_H-M_alt 'P 1'
_space_group_IT_number 1
loop_
_space_group_symop_operation_xyz
'x,y,z'
loop_
_atom_site_label
_atom_site_fract_x
_atom_site_fract_y
_atom_site_fract_z
_atom_site_occupancy
H1 0.000 0.000 0.500 1
H2 0.500 0.000 0.000 1
K1 0.000 0.500 0.000 1
Bi1 0.000 0.000 0.000 1
Cl1 0.500 0.500 0.500 1
```

Summary:
DOS(E_F) in states/eV/f.u.: 1.455
Uncorrected energy in eV/atom: -2.98
Symmetry: P4/mmm

---

[6]
Below is a relaxed structure of TmInNi, with properties calculated at the PBE-GGA level.

```
data_TmInNi
_chemical_formula_sum 'Tm2 In2 Ni2'
_cell_length_a 4.491
_cell_length_b 4.483
_cell_length_c 7.835
_cell_angle_alpha 106.75
_cell_angle_beta 90.00
_cell_angle_gamma 120.06
_space_group_name_H-M_alt 'P 1'
_space_group_IT_number 1
loop_
_space_group_symop_operation_xyz
'x,y,z'
loop_
_atom_site_label
_atom_site_fract_x
_atom_site_fract_y
_atom_site_fract_z
_atom_site_occupancy
Tm1 0.745 0.491 0.237 1
Tm2 0.255 0.509 0.763 1
In1 0.500 0.000 0.500 1
In2 0.000 0.000 0.000 1
Ni1 0.132 0.264 0.397 1
Ni2 0.868 0.736 0.603 1
```

Summary:
DOS(E_F) in states/eV/f.u.: 2.126
E_form in eV/atom: -0.359
Uncorrected energy in eV/atom: -4.69
Symmetry: C2/m

---

[7]
Below is a relaxed structure of LuCr4Tc, with properties calculated at the PBE-GGA level.

```
data_LuCr4Tc
_chemical_formula_sum 'Lu1 Cr4 Tc1'
_cell_length_a 4.934
_cell_length_b 4.934
_cell_length_c 4.934
_cell_angle_alpha 60.00
_cell_angle_beta 60.00
_cell_angle_gamma 60.00
_space_group_name_H-M_alt 'P 1'
_space_group_IT_number 1
loop_
_space_group_symop_operation_xyz
'x,y,z'
loop_
_atom_site_label
_atom_site_fract_x
_atom_site_fract_y
_atom_site_fract_z
_atom_site_occupancy
Cr1 0.624 0.624 0.127 1
Cr2 0.624 0.127 0.624 1
Cr3 0.624 0.624 0.624 1
Cr4 0.127 0.624 0.624 1
Lu1 0.000 0.000 0.000 1
Tc1 0.250 0.250 0.250 1
```

Summary:
DOS(E_F) in states/eV/f.u.: 5.176
E_form in eV/atom: 0.133
Uncorrected energy in eV/atom: -8.76
Symmetry: F-43m

---

[8]
Below is a relaxed structure of MgAl2Au, with properties calculated at the PBE-GGA level.

```
data_MgAl2Au
_chemical_formula_sum 'Mg1 Al2 Au1'
_cell_length_a 5.174
_cell_length_b 5.174
_cell_length_c 5.174
_cell_angle_alpha 133.86
_cell_angle_beta 133.86
_cell_angle_gamma 67.30
_space_group_name_H-M_alt 'P 1'
_space_group_IT_number 1
loop_
_space_group_symop_operation_xyz
'x,y,z'
loop_
_atom_site_label
_atom_site_fract_x
_atom_site_fract_y
_atom_site_fract_z
_atom_site_occupancy
Al1 0.000 0.000 0.000 1
Al2 0.500 0.500 0.000 1
Au1 0.250 0.750 0.500 1
Mg1 0.750 0.250 0.500 1
```

Summary:
DOS(E_F) in states/eV/f.u.: 1.796
E_form in eV/atom: -0.183
Uncorrected energy in eV/atom: -3.27
Symmetry: I4/mmm

---

[9]
Below is a relaxed structure of NaSr3Pt, with properties calculated at the PBE-GGA level.

```
data_NaSr3Pt
_chemical_formula_sum 'Na4 Sr12 Pt4'
_cell_length_a 7.653
_cell_length_b 9.945
_cell_length_c 11.002
_cell_angle_alpha 90.00
_cell_angle_beta 90.00
_cell_angle_gamma 90.00
_space_group_name_H-M_alt 'P 1'
_space_group_IT_number 1
loop_
_space_group_symop_operation_xyz
'x,y,z'
loop_
_atom_site_label
_atom_site_fract_x
_atom_site_fract_y
_atom_site_fract_z
_atom_site_occupancy
Sr1 0.059 0.937 0.853 1
Sr2 0.441 0.437 0.353 1
Sr3 0.441 0.063 0.353 1
Sr4 0.941 0.437 0.147 1
Sr5 0.941 0.063 0.147 1
Sr6 0.559 0.563 0.647 1
Sr7 0.559 0.937 0.647 1
Sr8 0.059 0.563 0.853 1
Sr9 0.254 0.250 0.690 1
Sr10 0.246 0.750 0.190 1
Sr11 0.746 0.750 0.310 1
Sr12 0.754 0.250 0.810 1
Pt1 0.588 0.250 0.554 1
Pt2 0.912 0.750 0.054 1
Pt3 0.412 0.750 0.446 1
Pt4 0.088 0.250 0.946 1
Na1 0.000 0.000 0.500 1
Na2 0.500 0.500 0.000 1
Na3 0.500 0.000 0.000 1
Na4 0.000 0.500 0.500 1
```

Summary:
Energy above the lowest structure with this stoichiometry in eV per atom: 0.218
DOS(E_F) in states/eV/f.u.: 4.368
E_form in eV/atom: -0.219
Uncorrected energy in eV/atom: -2.70
Symmetry: Pnma

---

[10]
Below is a relaxed structure of CaPmCuS3, with properties calculated at the PBE-GGA level.

```
data_CaPmCuS3
_chemical_formula_sum 'Ca2 Pm2 Cu2 S6'
_cell_length_a 3.902
_cell_length_b 8.179
_cell_length_c 8.586
_cell_angle_alpha 100.91
_cell_angle_beta 90.00
_cell_angle_gamma 90.00
_space_group_name_H-M_alt 'P 1'
_space_group_IT_number 1
loop_
_space_group_symop_operation_xyz
'x,y,z'
loop_
_atom_site_label
_atom_site_fract_x
_atom_site_fract_y
_atom_site_fract_z
_atom_site_occupancy
Ca1 0.250 0.176 0.229 1
Ca2 0.750 0.824 0.771 1
Pm1 0.250 0.669 0.179 1
Pm2 0.750 0.331 0.821 1
Cu1 0.250 0.085 0.584 1
Cu2 0.750 0.915 0.416 1
S1 0.750 0.905 0.141 1
S2 0.250 0.095 0.859 1
S3 0.250 0.786 0.504 1
S4 0.750 0.214 0.496 1
S5 0.750 0.418 0.163 1
S6 0.250 0.582 0.837 1
```

Summary:
DOS(E_F) in states/eV/f.u.: 0.008
Uncorrected energy in eV/atom: -5.48
Formation energy from raw total energies in eV per atom: -1.61
Symmetry: P2_1/m